Entry 1:
The following is a DFT calculation (PBE-GGA) of a relaxed structure of Mg2VSb.

Output
- total magnetic moment (μB per formula unit) = 2.492
- DOS at the Fermi energy (states/eV/atom) = 1.321
- symmetry = I-42d
- raw formation energy (meV/atom) = 422

The structure in CIF format:
```
data_Mg2VSb
_chemical_formula_sum 'Mg8 V4 Sb4'
_cell_length_a 8.183
_cell_length_b 8.183
_cell_length_c 5.542
_cell_angle_alpha 90.00
_cell_angle_beta 90.00
_cell_angle_gamma 90.00
_space_group_name_H-M_alt 'P 1'
_space_group_IT_number 1
loop_
_space_group_symop_operation_xyz
'x,y,z'
loop_
_atom_site_label
_atom_site_fract_x
_atom_site_fract_y
_atom_site_fract_z
_atom_site_occupancy
Mg1 0.241 0.250 0.125 1
Mg2 0.250 0.741 0.375 1
Mg3 0.250 0.759 0.875 1
Mg4 0.259 0.250 0.625 1
Mg5 0.741 0.750 0.625 1
Mg6 0.750 0.241 0.875 1
Mg7 0.750 0.259 0.375 1
Mg8 0.759 0.750 0.125 1
V1 0.000 0.000 0.500 1
V2 0.000 0.500 0.750 1
V3 0.500 0.000 0.250 1
V4 0.500 0.500 0.000 1
Sb1 0.000 0.000 0.000 1
Sb2 0.000 0.500 0.250 1
Sb3 0.500 0.000 0.750 1
Sb4 0.500 0.500 0.500 1
```



Entry 2:
The following is a DFT calculation (PBE-GGA) of a relaxed structure of MgV2Sb2.

Output
- total magnetic moment (μB per formula unit) = 1.237
- DOS at the Fermi energy (states/eV/atom) = 0.885
- ΔE to the lowest computed polymorph (meV/atom) = 0
- symmetry = P4/mbm
- raw formation energy (meV/atom) = 64

The structure in CIF format:
```
data_MgV2Sb2
_chemical_formula_sum 'Mg2 V4 Sb4'
_cell_length_a 7.456
_cell_length_b 7.456
_cell_length_c 3.477
_cell_angle_alpha 90.00
_cell_angle_beta 90.00
_cell_angle_gamma 90.00
_space_group_name_H-M_alt 'P 1'
_space_group_IT_number 1
loop_
_space_group_symop_operation_xyz
'x,y,z'
loop_
_atom_site_label
_atom_site_fract_x
_atom_site_fract_y
_atom_site_fract_z
_atom_site_occupancy
Mg1 0.000 0.000 0.000 1
Mg2 0.500 0.500 0.000 1
V1 0.125 0.375 0.000 1
V2 0.375 0.875 0.000 1
V3 0.625 0.125 0.000 1
V4 0.875 0.625 0.000 1
Sb1 0.164 0.664 0.500 1
Sb2 0.336 0.164 0.500 1
Sb3 0.664 0.836 0.500 1
Sb4 0.836 0.336 0.500 1
```



Entry 3:
The following is a DFT calculation (PBE-GGA) of a relaxed structure of Mg14VSb.

Output
- total magnetic moment (μB per formula unit) = 3.457
- DOS at the Fermi energy (states/eV/atom) = 0.599
- symmetry = P-6m2
- raw formation energy (meV/atom) = 37

The structure in CIF format:
```
data_Mg14VSb
_chemical_formula_sum 'Mg14 V1 Sb1'
_cell_length_a 6.364
_cell_length_b 6.364
_cell_length_c 10.183
_cell_angle_alpha 90.00
_cell_angle_beta 90.00
_cell_angle_gamma 120.00
_space_group_name_H-M_alt 'P 1'
_space_group_IT_number 1
loop_
_space_group_symop_operation_xyz
'x,y,z'
loop_
_atom_site_label
_atom_site_fract_x
_atom_site_fract_y
_atom_site_fract_z
_atom_site_occupancy
Mg1 0.000 0.000 0.248 1
Mg2 0.000 0.000 0.752 1
Mg3 0.004 0.502 0.256 1
Mg4 0.004 0.502 0.744 1
Mg5 0.333 0.167 0.000 1
Mg6 0.333 0.167 0.500 1
Mg7 0.498 0.502 0.256 1
Mg8 0.498 0.502 0.744 1
Mg9 0.498 0.996 0.256 1
Mg10 0.498 0.996 0.744 1
Mg11 0.833 0.167 0.000 1
Mg12 0.833 0.167 0.500 1
Mg13 0.833 0.667 0.000 1
Mg14 0.833 0.667 0.500 1
V1 0.333 0.667 0.500 1
Sb1 0.333 0.667 0.000 1
```



Entry 4:
The following is a DFT calculation (PBE-GGA) of a relaxed structure of Mg2VSb2.

Output
- total magnetic moment (μB per formula unit) = 1.062
- DOS at the Fermi energy (states/eV/atom) = 0.513
- symmetry = P4/mbm
- raw formation energy (meV/atom) = 12

The structure in CIF format:
```
data_Mg2VSb2
_chemical_formula_sum 'Mg4 V2 Sb4'
_cell_length_a 7.168
_cell_length_b 7.168
_cell_length_c 4.338
_cell_angle_alpha 90.00
_cell_angle_beta 90.00
_cell_angle_gamma 90.00
_space_group_name_H-M_alt 'P 1'
_space_group_IT_number 1
loop_
_space_group_symop_operation_xyz
'x,y,z'
loop_
_atom_site_label
_atom_site_fract_x
_atom_site_fract_y
_atom_site_fract_z
_atom_site_occupancy
Mg1 0.161 0.339 0.000 1
Mg2 0.339 0.839 0.000 1
Mg3 0.661 0.161 0.000 1
Mg4 0.839 0.661 0.000 1
V1 0.000 0.000 0.500 1
V2 0.500 0.500 0.500 1
Sb1 0.154 0.654 0.500 1
Sb2 0.346 0.154 0.500 1
Sb3 0.654 0.846 0.500 1
Sb4 0.846 0.346 0.500 1
```



Entry 5:
The following is a DFT calculation (PBE-GGA) of a relaxed structure of MgV3Sb.

Output
- total magnetic moment (μB per formula unit) = 9.354
- DOS at the Fermi energy (states/eV/atom) = 1.704
- ΔE to the lowest computed polymorph (meV/atom) = 0
- symmetry = Pm-3m
- raw formation energy (meV/atom) = 1218

The structure in CIF format:
```
data_MgV3Sb
_chemical_formula_sum 'Mg1 V3 Sb1'
_cell_length_a 5.085
_cell_length_b 5.085
_cell_length_c 5.085
_cell_angle_alpha 90.00
_cell_angle_beta 90.00
_cell_angle_gamma 90.00
_space_group_name_H-M_alt 'P 1'
_space_group_IT_number 1
loop_
_space_group_symop_operation_xyz
'x,y,z'
loop_
_atom_site_label
_atom_site_fract_x
_atom_site_fract_y
_atom_site_fract_z
_atom_site_occupancy
Mg1 0.000 0.000 0.000 1
V1 0.000 0.500 0.500 1
V2 0.500 0.000 0.500 1
V3 0.500 0.500 0.000 1
Sb1 0.500 0.500 0.500 1
```



Entry 6:
The following is a DFT calculation (PBE-GGA) of a relaxed structure of MgV2Sb.

Output
- total magnetic moment (μB per formula unit) = 4.989
- DOS at the Fermi energy (states/eV/atom) = 1.250
- ΔE to the lowest computed polymorph (meV/atom) = 0
- symmetry = Fm-3m
- raw formation energy (meV/atom) = 294

The structure in CIF format:
```
data_MgV2Sb
_chemical_formula_sum 'Mg4 V8 Sb4'
_cell_length_a 6.554
_cell_length_b 6.554
_cell_length_c 6.554
_cell_angle_alpha 90.00
_cell_angle_beta 90.00
_cell_angle_gamma 90.00
_space_group_name_H-M_alt 'P 1'
_space_group_IT_number 1
loop_
_space_group_symop_operation_xyz
'x,y,z'
loop_
_atom_site_label
_atom_site_fract_x
_atom_site_fract_y
_atom_site_fract_z
_atom_site_occupancy
Mg1 0.000 0.000 0.000 1
Mg2 0.000 0.500 0.500 1
Mg3 0.500 0.000 0.500 1
Mg4 0.500 0.500 0.000 1
V1 0.250 0.250 0.250 1
V2 0.250 0.250 0.750 1
V3 0.250 0.750 0.250 1
V4 0.250 0.750 0.750 1
V5 0.750 0.250 0.250 1
V6 0.750 0.250 0.750 1
V7 0.750 0.750 0.250 1
V8 0.750 0.750 0.750 1
Sb1 0.000 0.000 0.500 1
Sb2 0.000 0.500 0.000 1
Sb3 0.500 0.000 0.000 1
Sb4 0.500 0.500 0.500 1
```



Entry 7:
The following is a DFT calculation (PBE-GGA) of a relaxed structure of MgVSb2.

Output
- total magnetic moment (μB per formula unit) = 1.000
- DOS at the Fermi energy (states/eV/atom) = 0.993
- symmetry = I-42d
- raw formation energy (meV/atom) = 235

The structure in CIF format:
```
data_MgVSb2
_chemical_formula_sum 'Mg4 V4 Sb8'
_cell_length_a 6.413
_cell_length_b 6.413
_cell_length_c 12.402
_cell_angle_alpha 90.00
_cell_angle_beta 90.00
_cell_angle_gamma 90.00
_space_group_name_H-M_alt 'P 1'
_space_group_IT_number 1
loop_
_space_group_symop_operation_xyz
'x,y,z'
loop_
_atom_site_label
_atom_site_fract_x
_atom_site_fract_y
_atom_site_fract_z
_atom_site_occupancy
Mg1 0.000 0.000 0.000 1
Mg2 0.000 0.500 0.250 1
Mg3 0.500 0.000 0.750 1
Mg4 0.500 0.500 0.500 1
V1 0.000 0.000 0.500 1
V2 0.000 0.500 0.750 1
V3 0.500 0.000 0.250 1
V4 0.500 0.500 0.000 1
Sb1 0.214 0.250 0.625 1
Sb2 0.250 0.714 0.875 1
Sb3 0.250 0.786 0.375 1
Sb4 0.286 0.250 0.125 1
Sb5 0.714 0.750 0.125 1
Sb6 0.750 0.214 0.375 1
Sb7 0.750 0.286 0.875 1
Sb8 0.786 0.750 0.625 1
```



Entry 8:
The following is a DFT calculation (PBE-GGA) of a relaxed structure of Mg14VSb.

Output
- total magnetic moment (μB per formula unit) = 3.017
- DOS at the Fermi energy (states/eV/atom) = 0.494
- symmetry = Amm2
- raw formation energy (meV/atom) = 36

The structure in CIF format:
```
data_Mg14VSb
_chemical_formula_sum 'Mg14 V1 Sb1'
_cell_length_a 10.322
_cell_length_b 6.340
_cell_length_c 6.340
_cell_angle_alpha 59.14
_cell_angle_beta 90.00
_cell_angle_gamma 90.00
_space_group_name_H-M_alt 'P 1'
_space_group_IT_number 1
loop_
_space_group_symop_operation_xyz
'x,y,z'
loop_
_atom_site_label
_atom_site_fract_x
_atom_site_fract_y
_atom_site_fract_z
_atom_site_occupancy
Mg1 0.000 0.000 0.000 1
Mg2 0.000 0.002 0.500 1
Mg3 0.000 0.500 0.002 1
Mg4 0.000 0.500 0.500 1
Mg5 0.247 0.667 0.667 1
Mg6 0.255 0.162 0.162 1
Mg7 0.256 0.160 0.671 1
Mg8 0.256 0.671 0.160 1
Mg9 0.500 0.498 0.999 1
Mg10 0.500 0.999 0.498 1
Mg11 0.744 0.160 0.671 1
Mg12 0.744 0.671 0.160 1
Mg13 0.745 0.162 0.162 1
Mg14 0.753 0.667 0.667 1
V1 0.500 0.000 0.000 1
Sb1 0.500 0.503 0.503 1
```



Entry 9:
The following is a DFT calculation (PBE-GGA) of a relaxed structure of MgVSb.

Output
- total magnetic moment (μB per formula unit) = 0.000
- DOS at the Fermi energy (states/eV/atom) = 0.379
- symmetry = P4/nmm
- raw formation energy (meV/atom) = -157

The structure in CIF format:
```
data_MgVSb
_chemical_formula_sum 'Mg2 V2 Sb2'
_cell_length_a 4.160
_cell_length_b 4.160
_cell_length_c 6.883
_cell_angle_alpha 90.00
_cell_angle_beta 90.00
_cell_angle_gamma 90.00
_space_group_name_H-M_alt 'P 1'
_space_group_IT_number 1
loop_
_space_group_symop_operation_xyz
'x,y,z'
loop_
_atom_site_label
_atom_site_fract_x
_atom_site_fract_y
_atom_site_fract_z
_atom_site_occupancy
Mg1 0.250 0.250 0.190 1
Mg2 0.750 0.750 0.810 1
V1 0.250 0.750 0.500 1
V2 0.750 0.250 0.500 1
Sb1 0.250 0.250 0.765 1
Sb2 0.750 0.750 0.235 1
```



Entry 10:
The following is a DFT calculation (PBE-GGA) of a relaxed structure of MgSbW2.

Output
- total magnetic moment (μB per formula unit) = 0.000
- DOS at the Fermi energy (states/eV/atom) = 0.739
- ΔE to the lowest computed polymorph (meV/atom) = 193
- symmetry = F-43m
- raw formation energy (meV/atom) = 520

The structure in CIF format:
```
data_MgSbW2
_chemical_formula_sum 'Mg4 Sb4 W8'
_cell_length_a 6.556
_cell_length_b 6.556
_cell_length_c 6.556
_cell_angle_alpha 90.00
_cell_angle_beta 90.00
_cell_angle_gamma 90.00
_space_group_name_H-M_alt 'P 1'
_space_group_IT_number 1
loop_
_space_group_symop_operation_xyz
'x,y,z'
loop_
_atom_site_label
_atom_site_fract_x
_atom_site_fract_y
_atom_site_fract_z
_atom_site_occupancy
Mg1 0.000 0.000 0.000 1
Mg2 0.000 0.500 0.500 1
Mg3 0.500 0.000 0.500 1
Mg4 0.500 0.500 0.000 1
Sb1 0.250 0.250 0.750 1
Sb2 0.250 0.750 0.250 1
Sb3 0.750 0.250 0.250 1
Sb4 0.750 0.750 0.750 1
W1 0.000 0.000 0.500 1
W2 0.000 0.500 0.000 1
W3 0.250 0.250 0.250 1
W4 0.250 0.750 0.750 1
W5 0.500 0.000 0.000 1
W6 0.500 0.500 0.500 1
W7 0.750 0.250 0.750 1
W8 0.750 0.750 0.250 1
```



Entry 11:
The following is a DFT calculation (PBE-GGA) of a relaxed structure of Mg4SbW.

Output
- total magnetic moment (μB per formula unit) = 0.002
- DOS at the Fermi energy (states/eV/atom) = 1.026
- symmetry = F-43m
- raw formation energy (meV/atom) = 572

The structure in CIF format:
```
data_Mg4SbW
_chemical_formula_sum 'Mg4 Sb1 W1'
_cell_length_a 5.524
_cell_length_b 5.524
_cell_length_c 5.524
_cell_angle_alpha 60.00
_cell_angle_beta 60.00
_cell_angle_gamma 60.00
_space_group_name_H-M_alt 'P 1'
_space_group_IT_number 1
loop_
_space_group_symop_operation_xyz
'x,y,z'
loop_
_atom_site_label
_atom_site_fract_x
_atom_site_fract_y
_atom_site_fract_z
_atom_site_occupancy
Mg1 0.377 0.377 0.377 1
Mg2 0.377 0.377 0.870 1
Mg3 0.377 0.870 0.377 1
Mg4 0.870 0.377 0.377 1
Sb1 0.000 0.000 0.000 1
W1 0.750 0.750 0.750 1
```



Entry 12:
The following is a DFT calculation (PBE-GGA) of a relaxed structure of Mg2SbW.

Output
- total magnetic moment (μB per formula unit) = 0.000
- DOS at the Fermi energy (states/eV/atom) = 0.607
- symmetry = Cm
- raw formation energy (meV/atom) = 333

The structure in CIF format:
```
data_Mg2SbW
_chemical_formula_sum 'Mg4 Sb2 W2'
_cell_length_a 10.036
_cell_length_b 2.964
_cell_length_c 5.327
_cell_angle_alpha 90.00
_cell_angle_beta 95.94
_cell_angle_gamma 90.00
_space_group_name_H-M_alt 'P 1'
_space_group_IT_number 1
loop_
_space_group_symop_operation_xyz
'x,y,z'
loop_
_atom_site_label
_atom_site_fract_x
_atom_site_fract_y
_atom_site_fract_z
_atom_site_occupancy
Mg1 0.000 0.000 0.000 1
Mg2 0.243 0.000 0.770 1
Mg3 0.500 0.500 0.000 1
Mg4 0.743 0.500 0.770 1
Sb1 0.478 0.000 0.467 1
Sb2 0.978 0.500 0.467 1
W1 0.236 0.500 0.259 1
W2 0.736 0.000 0.259 1
```



Entry 13:
The following is a DFT calculation (PBE-GGA) of a relaxed structure of Mg2SbW.

Output
- total magnetic moment (μB per formula unit) = 0.000
- DOS at the Fermi energy (states/eV/atom) = 1.027
- symmetry = I-42d
- raw formation energy (meV/atom) = 805

The structure in CIF format:
```
data_Mg2SbW
_chemical_formula_sum 'Mg8 Sb4 W4'
_cell_length_a 7.985
_cell_length_b 7.985
_cell_length_c 5.442
_cell_angle_alpha 90.00
_cell_angle_beta 90.00
_cell_angle_gamma 90.00
_space_group_name_H-M_alt 'P 1'
_space_group_IT_number 1
loop_
_space_group_symop_operation_xyz
'x,y,z'
loop_
_atom_site_label
_atom_site_fract_x
_atom_site_fract_y
_atom_site_fract_z
_atom_site_occupancy
Mg1 0.239 0.250 0.125 1
Mg2 0.250 0.739 0.375 1
Mg3 0.250 0.761 0.875 1
Mg4 0.261 0.250 0.625 1
Mg5 0.739 0.750 0.625 1
Mg6 0.750 0.239 0.875 1
Mg7 0.750 0.261 0.375 1
Mg8 0.761 0.750 0.125 1
Sb1 0.000 0.000 0.500 1
Sb2 0.000 0.500 0.750 1
Sb3 0.500 0.000 0.250 1
Sb4 0.500 0.500 0.000 1
W1 0.000 0.000 0.000 1
W2 0.000 0.500 0.250 1
W3 0.500 0.000 0.750 1
W4 0.500 0.500 0.500 1
```